P:
! ErSnB4 (PBE-GGA, relaxed); values from VASP
! Symmetry = P6/mmm
! Magnetization = 0.0 μB/cell
&SYSTEM
  ibrav = 0, nat = 6, ntyp = 3
/
ATOMIC_SPECIES
Er 167.26 Er.upf
Sn 118.71 Sn.upf
B 10.81 B.upf
CELL_PARAMETERS angstrom
3.217 0.000 0.000
-1.609 2.786 0.000
0.000 0.000 8.125
ATOMIC_POSITIONS crystal
Er 0.000 0.000 0.000
Sn 0.000 0.000 0.500
B 0.333 0.667 0.230
B 0.333 0.667 0.770
B 0.667 0.333 0.230
B 0.667 0.333 0.770

***

Q:
! ErSnB4 (PBE-GGA, relaxed); values from VASP
! Symmetry = Immm
! Magnetization = 0.0 μB/cell
&SYSTEM
  ibrav = 0, nat = 6, ntyp = 3
/
ATOMIC_SPECIES
Er 167.26 Er.upf
Sn 118.71 Sn.upf
B 10.81 B.upf
CELL_PARAMETERS angstrom
-1.600 2.658 4.113
1.600 -2.658 4.113
1.600 2.658 -4.113
ATOMIC_POSITIONS crystal
Er 0.000 0.000 0.000
Sn 0.500 0.500 0.000
B 0.068 0.740 0.328
B 0.412 0.740 0.672
B 0.588 0.260 0.328
B 0.932 0.260 0.672

***

Result of the stability comparison: Q is the most stable of them.

***

P:
! SrErB4 (PBE-GGA, relaxed); values from VASP
! Symmetry = P6/mmm
! Magnetization = 0.0 μB/cell
&SYSTEM
  ibrav = 0, nat = 6, ntyp = 3
/
ATOMIC_SPECIES
Sr 87.62 Sr.upf
Er 167.26 Er.upf
B 10.81 B.upf
CELL_PARAMETERS angstrom
3.303 0.000 0.000
-1.651 2.860 0.000
0.000 0.000 8.167
ATOMIC_POSITIONS crystal
Sr 0.000 0.000 0.000
Er 0.000 0.000 0.500
B 0.333 0.667 0.273
B 0.333 0.667 0.727
B 0.667 0.333 0.273
B 0.667 0.333 0.727

***

Q:
! SrErB4 (PBE-GGA, relaxed); values from VASP
! Symmetry = Immm
! Magnetization = 0.0 μB/cell
&SYSTEM
  ibrav = 0, nat = 6, ntyp = 3
/
ATOMIC_SPECIES
Sr 87.62 Sr.upf
Er 167.26 Er.upf
B 10.81 B.upf
CELL_PARAMETERS angstrom
-1.607 2.955 4.078
1.607 -2.955 4.078
1.607 2.955 -4.078
ATOMIC_POSITIONS crystal
Sr 0.000 0.000 0.000
Er 0.500 0.500 0.000
B 0.076 0.757 0.320
B 0.437 0.757 0.680
B 0.563 0.243 0.320
B 0.924 0.243 0.680

***

Result of the stability comparison: P is the most stable of them.

***

P:
! ErTcB (PBE-GGA, relaxed); values from VASP
! Symmetry = F-43m
! Magnetization = 0.3 μB/cell
&SYSTEM
  ibrav = 0, nat = 3, ntyp = 3
/
ATOMIC_SPECIES
Er 167.26 Er.upf
Tc 98.00 Tc.upf
B 10.81 B.upf
CELL_PARAMETERS angstrom
0.000 3.032 3.032
3.032 0.000 3.032
3.032 3.032 0.000
ATOMIC_POSITIONS crystal
Er 0.000 0.000 0.000
Tc 0.250 0.250 0.250
B 0.750 0.750 0.750

***

Q:
! ErTcB (PBE-GGA, relaxed); values from VASP
! Symmetry = F-43m
! Magnetization = 0.0 μB/cell
&SYSTEM
  ibrav = 0, nat = 3, ntyp = 3
/
ATOMIC_SPECIES
Er 167.26 Er.upf
Tc 98.00 Tc.upf
B 10.81 B.upf
CELL_PARAMETERS angstrom
0.000 2.884 2.884
2.884 0.000 2.884
2.884 2.884 0.000
ATOMIC_POSITIONS crystal
Er 0.000 0.000 0.000
Tc 0.500 0.500 0.500
B 0.250 0.250 0.250

***

Result of the stability comparison: Q is the most stable of them.

***

P:
! ErBTe (PBE-GGA, relaxed); values from VASP
! Symmetry = F-43m
! Magnetization = 0.0 μB/cell
&SYSTEM
  ibrav = 0, nat = 3, ntyp = 3
/
ATOMIC_SPECIES
Er 167.26 Er.upf
B 10.81 B.upf
Te 127.60 Te.upf
CELL_PARAMETERS angstrom
0.000 3.186 3.186
3.186 0.000 3.186
3.186 3.186 0.000
ATOMIC_POSITIONS crystal
Er 0.000 0.000 0.000
B 0.250 0.250 0.250
Te 0.500 0.500 0.500

***

Q:
! ErBTe (PBE-GGA, relaxed); values from VASP
! Symmetry = F-43m
! Magnetization = 0.0 μB/cell
&SYSTEM
  ibrav = 0, nat = 3, ntyp = 3
/
ATOMIC_SPECIES
Er 167.26 Er.upf
B 10.81 B.upf
Te 127.60 Te.upf
CELL_PARAMETERS angstrom
0.000 3.385 3.385
3.385 0.000 3.385
3.385 3.385 0.000
ATOMIC_POSITIONS crystal
Er 0.000 0.000 0.000
B 0.500 0.500 0.500
Te 0.750 0.750 0.750

***

Result of the stability comparison: P is the most stable of them.

***

P:
! ErBW (PBE-GGA, relaxed); values from VASP
! Symmetry = F-43m
! Magnetization = 2.5 μB/cell
&SYSTEM
  ibrav = 0, nat = 3, ntyp = 3
/
ATOMIC_SPECIES
Er 167.26 Er.upf
B 10.81 B.upf
W 183.84 W.upf
CELL_PARAMETERS angstrom
0.000 3.158 3.158
3.158 0.000 3.158
3.158 3.158 0.000
ATOMIC_POSITIONS crystal
Er 0.000 0.000 0.000
B 0.750 0.750 0.750
W 0.250 0.250 0.250

***

Q:
! ErBW (PBE-GGA, relaxed); values from VASP
! Symmetry = F-43m
! Magnetization = 0.0 μB/cell
&SYSTEM
  ibrav = 0, nat = 3, ntyp = 3
/
ATOMIC_SPECIES
Er 167.26 Er.upf
B 10.81 B.upf
W 183.84 W.upf
CELL_PARAMETERS angstrom
0.000 2.911 2.911
2.911 0.000 2.911
2.911 2.911 0.000
ATOMIC_POSITIONS crystal
Er 0.000 0.000 0.000
B 0.250 0.250 0.250
W 0.500 0.500 0.500

***

Result of the stability comparison: Q is the most stable of them.

***

P:
! ErB4W (PBE-GGA, relaxed); values from VASP
! Symmetry = P6/mmm
! Magnetization = 0.0 μB/cell
&SYSTEM
  ibrav = 0, nat = 6, ntyp = 3
/
ATOMIC_SPECIES
Er 167.26 Er.upf
B 10.81 B.upf
W 183.84 W.upf
CELL_PARAMETERS angstrom
3.119 0.000 0.000
-1.560 2.701 0.000
0.000 0.000 7.069
ATOMIC_POSITIONS crystal
Er 0.000 0.000 0.000
B 0.333 0.667 0.271
B 0.333 0.667 0.729
B 0.667 0.333 0.271
B 0.667 0.333 0.729
W 0.000 0.000 0.500

***

Q:
! ErB4W (PBE-GGA, relaxed); values from VASP
! Symmetry = Pbam
! Magnetization = 0.0 μB/cell
&SYSTEM
  ibrav = 0, nat = 24, ntyp = 3
/
ATOMIC_SPECIES
Er 167.26 Er.upf
B 10.81 B.upf
W 183.84 W.upf
CELL_PARAMETERS angstrom
6.008 0.000 0.000
0.000 11.606 0.000
0.000 0.000 3.607
ATOMIC_POSITIONS crystal
Er 0.127 0.149 0.000
Er 0.373 0.649 0.000
Er 0.627 0.351 0.000
Er 0.873 0.851 0.000
B 0.024 0.694 0.500
B 0.115 0.548 0.500
B 0.133 0.968 0.500
B 0.213 0.813 0.500
B 0.287 0.313 0.500
B 0.367 0.468 0.500
B 0.385 0.048 0.500
B 0.476 0.194 0.500
B 0.524 0.806 0.500
B 0.615 0.952 0.500
B 0.633 0.532 0.500
B 0.713 0.687 0.500
B 0.787 0.187 0.500
B 0.867 0.032 0.500
B 0.885 0.452 0.500
B 0.976 0.306 0.500
W 0.131 0.415 0.000
W 0.369 0.915 0.000
W 0.631 0.085 0.000
W 0.869 0.585 0.000

***

Result of the stability comparison: Q is the most stable of them.

***

P:
! GaFeB (PBE-GGA, relaxed); values from VASP
! Symmetry = F-43m
! Magnetization = 0.1 μB/cell
&SYSTEM
  ibrav = 0, nat = 3, ntyp = 3
/
ATOMIC_SPECIES
Ga 69.72 Ga.upf
Fe 55.84 Fe.upf
B 10.81 B.upf
CELL_PARAMETERS angstrom
0.000 2.529 2.529
2.529 0.000 2.529
2.529 2.529 0.000
ATOMIC_POSITIONS crystal
Ga 0.000 0.000 0.000
Fe 0.500 0.500 0.500
B 0.750 0.750 0.750

***

Q:
! GaFeB (PBE-GGA, relaxed); values from VASP
! Symmetry = F-43m
! Magnetization = 0.1 μB/cell
&SYSTEM
  ibrav = 0, nat = 3, ntyp = 3
/
ATOMIC_SPECIES
Ga 69.72 Ga.upf
Fe 55.84 Fe.upf
B 10.81 B.upf
CELL_PARAMETERS angstrom
0.000 2.610 2.610
2.610 0.000 2.610
2.610 2.610 0.000
ATOMIC_POSITIONS crystal
Ga 0.000 0.000 0.000
Fe 0.750 0.750 0.750
B 0.500 0.500 0.500

***

Result of the stability comparison: P is the most stable of them.

***

P:
! GdFeB4 (PBE-GGA, relaxed); values from VASP
! Symmetry = Immm
! Magnetization = 2.3 μB/cell
&SYSTEM
  ibrav = 0, nat = 6, ntyp = 3
/
ATOMIC_SPECIES
Gd 157.25 Gd.upf
Fe 55.84 Fe.upf
B 10.81 B.upf
CELL_PARAMETERS angstrom
-1.576 2.662 3.587
1.576 -2.662 3.587
1.576 2.662 -3.587
ATOMIC_POSITIONS crystal
Gd 0.000 0.000 0.000
Fe 0.500 0.500 0.000
B 0.088 0.753 0.335
B 0.417 0.753 0.665
B 0.583 0.247 0.335
B 0.912 0.247 0.665

***

Q:
! GdFeB4 (PBE-GGA, relaxed); values from VASP
! Symmetry = P6/mmm
! Magnetization = 0.8 μB/cell
&SYSTEM
  ibrav = 0, nat = 6, ntyp = 3
/
ATOMIC_SPECIES
Gd 157.25 Gd.upf
Fe 55.84 Fe.upf
B 10.81 B.upf
CELL_PARAMETERS angstrom
3.146 0.000 0.000
-1.573 2.725 0.000
0.000 0.000 6.640
ATOMIC_POSITIONS crystal
Gd 0.000 0.000 0.000
Fe 0.000 0.000 0.500
B 0.333 0.667 0.303
B 0.333 0.667 0.697
B 0.667 0.333 0.303
B 0.667 0.333 0.697

***

R:
! GdFeB4 (PBE-GGA, relaxed); values from VASP
! Symmetry = Pbam
! Magnetization = 0.0 μB/cell
&SYSTEM
  ibrav = 0, nat = 24, ntyp = 3
/
ATOMIC_SPECIES
Gd 157.25 Gd.upf
Fe 55.84 Fe.upf
B 10.81 B.upf
CELL_PARAMETERS angstrom
5.914 0.000 0.000
0.000 11.442 0.000
0.000 0.000 3.404
ATOMIC_POSITIONS crystal
Gd 0.126 0.150 0.000
Gd 0.374 0.650 0.000
Gd 0.626 0.350 0.000
Gd 0.874 0.850 0.000
Fe 0.132 0.412 0.000
Fe 0.368 0.912 0.000
Fe 0.632 0.088 0.000
Fe 0.868 0.588 0.000
B 0.024 0.689 0.500
B 0.111 0.545 0.500
B 0.140 0.968 0.500
B 0.219 0.817 0.500
B 0.281 0.317 0.500
B 0.360 0.468 0.500
B 0.389 0.045 0.500
B 0.476 0.189 0.500
B 0.524 0.811 0.500
B 0.611 0.955 0.500
B 0.640 0.532 0.500
B 0.719 0.683 0.500
B 0.781 0.183 0.500
B 0.860 0.032 0.500
B 0.889 0.455 0.500
B 0.976 0.311 0.500

***

Result of the stability comparison: R is the most stable of them.

***

P:
! FeGeB (PBE-GGA, relaxed); values from VASP
! Symmetry = F-43m
! Magnetization = 0.0 μB/cell
&SYSTEM
  ibrav = 0, nat = 3, ntyp = 3
/
ATOMIC_SPECIES
Fe 55.84 Fe.upf
Ge 72.64 Ge.upf
B 10.81 B.upf
CELL_PARAMETERS angstrom
0.000 2.608 2.608
2.608 0.000 2.608
2.608 2.608 0.000
ATOMIC_POSITIONS crystal
Fe 0.000 0.000 0.000
Ge 0.250 0.250 0.250
B 0.750 0.750 0.750

***

Q:
! FeGeB (PBE-GGA, relaxed); values from VASP
! Symmetry = F-43m
! Magnetization = 0.1 μB/cell
&SYSTEM
  ibrav = 0, nat = 3, ntyp = 3
/
ATOMIC_SPECIES
Fe 55.84 Fe.upf
Ge 72.64 Ge.upf
B 10.81 B.upf
CELL_PARAMETERS angstrom
0.000 2.538 2.538
2.538 0.000 2.538
2.538 2.538 0.000
ATOMIC_POSITIONS crystal
Fe 0.000 0.000 0.000
Ge 0.500 0.500 0.500
B 0.250 0.250 0.250

***

Result of the stability comparison: Q is the most stable of them.

***

P:
! HfFeB4 (PBE-GGA, relaxed); values from VASP
! Symmetry = P6/mmm
! Magnetization = 1.8 μB/cell
&SYSTEM
  ibrav = 0, nat = 6, ntyp = 3
/
ATOMIC_SPECIES
Hf 178.49 Hf.upf
Fe 55.84 Fe.upf
B 10.81 B.upf
CELL_PARAMETERS angstrom
3.099 0.000 0.000
-1.549 2.684 0.000
0.000 0.000 6.241
ATOMIC_POSITIONS crystal
Hf 0.000 0.000 0.000
Fe 0.000 0.000 0.500
B 0.333 0.667 0.274
B 0.333 0.667 0.726
B 0.667 0.333 0.274
B 0.667 0.333 0.726

***

Q:
! HfFeB4 (PBE-GGA, relaxed); values from VASP
! Symmetry = Pbam
! Magnetization = 0.1 μB/cell
&SYSTEM
  ibrav = 0, nat = 24, ntyp = 3
/
ATOMIC_SPECIES
Hf 178.49 Hf.upf
Fe 55.84 Fe.upf
B 10.81 B.upf
CELL_PARAMETERS angstrom
5.740 0.000 0.000
0.000 11.131 0.000
0.000 0.000 3.237
ATOMIC_POSITIONS crystal
Hf 0.129 0.150 0.000
Hf 0.371 0.650 0.000
Hf 0.629 0.350 0.000
Hf 0.871 0.850 0.000
Fe 0.134 0.409 0.000
Fe 0.366 0.909 0.000
Fe 0.634 0.091 0.000
Fe 0.866 0.591 0.000
B 0.025 0.694 0.500
B 0.114 0.547 0.500
B 0.134 0.968 0.500
B 0.211 0.813 0.500
B 0.289 0.313 0.500
B 0.366 0.468 0.500
B 0.386 0.047 0.500
B 0.475 0.194 0.500
B 0.525 0.806 0.500
B 0.614 0.953 0.500
B 0.634 0.532 0.500
B 0.711 0.687 0.500
B 0.789 0.187 0.500
B 0.866 0.032 0.500
B 0.886 0.453 0.500
B 0.975 0.306 0.500

***

R:
! HfFeB4 (PBE-GGA, relaxed); values from VASP
! Symmetry = Immm
! Magnetization = 2.1 μB/cell
&SYSTEM
  ibrav = 0, nat = 6, ntyp = 3
/
ATOMIC_SPECIES
Hf 178.49 Hf.upf
Fe 55.84 Fe.upf
B 10.81 B.upf
CELL_PARAMETERS angstrom
-1.533 2.625 3.367
1.533 -2.625 3.367
1.533 2.625 -3.367
ATOMIC_POSITIONS crystal
Hf 0.000 0.000 0.000
Fe 0.500 0.500 0.000
B 0.078 0.748 0.330
B 0.418 0.748 0.670
B 0.582 0.252 0.330
B 0.922 0.252 0.670

***

Result of the stability comparison: Q is the most stable of them.

***

P:
! HfFeHgB (PBE-GGA, relaxed); values from VASP
! Symmetry = F-43m
! Magnetization = 2.2 μB/cell
&SYSTEM
  ibrav = 0, nat = 4, ntyp = 4
/
ATOMIC_SPECIES
Hf 178.49 Hf.upf
Fe 55.84 Fe.upf
Hg 200.59 Hg.upf
B 10.81 B.upf
CELL_PARAMETERS angstrom
0.000 3.126 3.126
3.126 0.000 3.126
3.126 3.126 0.000
ATOMIC_POSITIONS crystal
Hf 0.000 0.000 0.000
Fe 0.500 0.500 0.500
Hg 0.750 0.750 0.750
B 0.250 0.250 0.250

***

Q:
! HfFeHgB (PBE-GGA, relaxed); values from VASP
! Symmetry = F-43m
! Magnetization = 1.7 μB/cell
&SYSTEM
  ibrav = 0, nat = 4, ntyp = 4
/
ATOMIC_SPECIES
Hf 178.49 Hf.upf
Fe 55.84 Fe.upf
Hg 200.59 Hg.upf
B 10.81 B.upf
CELL_PARAMETERS angstrom
0.000 3.132 3.132
3.132 0.000 3.132
3.132 3.132 0.000
ATOMIC_POSITIONS crystal
Hf 0.000 0.000 0.000
Fe 0.750 0.750 0.750
Hg 0.250 0.250 0.250
B 0.500 0.500 0.500

***

Result of the stability comparison: P is the most stable of them.

***

P:
! HfFeBIr (PBE-GGA, relaxed); values from VASP
! Symmetry = F-43m
! Magnetization = 3.5 μB/cell
&SYSTEM
  ibrav = 0, nat = 4, ntyp = 4
/
ATOMIC_SPECIES
Hf 178.49 Hf.upf
Fe 55.84 Fe.upf
B 10.81 B.upf
Ir 192.22 Ir.upf
CELL_PARAMETERS angstrom
0.000 3.043 3.043
3.043 0.000 3.043
3.043 3.043 0.000
ATOMIC_POSITIONS crystal
Hf 0.000 0.000 0.000
Fe 0.500 0.500 0.500
B 0.250 0.250 0.250
Ir 0.750 0.750 0.750

***

Q:
! HfFeBIr (PBE-GGA, relaxed); values from VASP
! Symmetry = F-43m
! Magnetization = 0.0 μB/cell
&SYSTEM
  ibrav = 0, nat = 4, ntyp = 4
/
ATOMIC_SPECIES
Hf 178.49 Hf.upf
Fe 55.84 Fe.upf
B 10.81 B.upf
Ir 192.22 Ir.upf
CELL_PARAMETERS angstrom
0.000 2.964 2.964
2.964 0.000 2.964
2.964 2.964 0.000
ATOMIC_POSITIONS crystal
Hf 0.000 0.000 0.000
Fe 0.750 0.750 0.750
B 0.500 0.500 0.500
Ir 0.250 0.250 0.250

***

Result of the stability comparison: Q is the most stable of them.